Compound: Na2B3C
Source: Alexandria via LeMat-Bulk
Functional: GGA-PBE
Structure: relaxed

a = 23.2450 Å, b = 2.8212 Å, c = 10.1000 Å
α = 90.00°, β = 106.79°, γ = 90.00°
Space group Cm (No. 8)
Unique sites:
Na (0.0000, 0.0000, 0.0000) [2 per cell]
Na (0.9996, 0.5000, 0.4980) [2 per cell]
Na (0.0980, 0.5000, 0.1974) [2 per cell]
Na (0.1000, 0.0000, 0.7020) [2 per cell]
Na (0.1987, 0.0000, 0.3978) [2 per cell]
Na (0.2003, 0.5000, 0.9035) [2 per cell]
Na (0.3006, 0.0000, 0.0974) [2 per cell]
Na (0.3010, 0.5000, 0.5982) [2 per cell]
Na (0.3996, 0.5000, 0.2954) [2 per cell]
Na (0.4013, 0.0000, 0.8016) [2 per cell]
B (0.0085, 0.0000, 0.2648) [2 per cell]
B (0.0238, 0.5000, 0.7996) [2 per cell]
B (0.0759, 0.0000, 0.3996) [2 per cell]
B (0.0906, 0.5000, 0.9323) [2 per cell]
B (0.1202, 0.5000, 0.4900) [2 per cell]
B (0.1824, 0.0000, 0.1143) [2 per cell]
B (0.1840, 0.5000, 0.6190) [2 per cell]
B (0.2281, 0.0000, 0.7078) [2 per cell]
B (0.2730, 0.5000, 0.2930) [2 per cell]
B (0.3145, 0.0000, 0.3757) [2 per cell]
B (0.3202, 0.5000, 0.8908) [2 per cell]
B (0.3776, 0.0000, 0.5026) [2 per cell]
B (0.4141, 0.0000, 0.0764) [2 per cell]
B (0.4202, 0.5000, 0.5896) [2 per cell]
B (0.4840, 0.5000, 0.7187) [2 per cell]
C (0.1204, 0.0000, 0.9920) [2 per cell]
C (0.2135, 0.5000, 0.1743) [2 per cell]
C (0.2877, 0.0000, 0.8273) [2 per cell]
C (0.3824, 0.5000, 0.0142) [2 per cell]
C (0.4773, 0.0000, 0.2015) [2 per cell]

Values from the calculation:
Final energy (eV per atom): -5.171
Volume (Å³ per cell): 634.1
Energy relative to the elements (eV per atom): 0.145

Compound: Na6B7C5
Source: Alexandria via LeMat-Bulk
Functional: GGA-PBE
Structure: relaxed

a = 2.8482 Å, b = 2.8482 Å, c = 25.4057 Å
α = 90.00°, β = 90.00°, γ = 120.00°
Space group P-6m2 (No. 187)
Unique sites:
Na (0.0000, 0.0000, 0.0827) [2 per cell]
Na (0.0000, 0.0000, 0.2482) [2 per cell]
Na (0.0000, 0.0000, 0.4147) [2 per cell]
B (0.3333, 0.6667, 0.0000) [1 per cell]
B (0.3333, 0.6667, 0.3309) [2 per cell]
B (0.3333, 0.6667, 0.5000) [1 per cell]
B (0.6667, 0.3333, 0.1654) [2 per cell]
B (0.6667, 0.3333, 0.5000) [1 per cell]
C (0.3333, 0.6667, 0.1653) [2 per cell]
C (0.6667, 0.3333, 0.0000) [1 per cell]
C (0.6667, 0.3333, 0.3307) [2 per cell]

Values from the calculation:
Final energy (eV per atom): -5.536
Volume (Å³ per cell): 178.5
Energy relative to the elements (eV per atom): 0.062

Compound: NaBC
Source: Alexandria via LeMat-Bulk
Functional: GGA-PBE
Structure: relaxed

a = 4.4731 Å, b = 4.4731 Å, c = 5.6653 Å
α = 90.00°, β = 90.00°, γ = 120.00°
Space group P6_3/mmc (No. 194)
Unique sites:
Na (0.3333, 0.6667, 0.2500) [2 per cell]
B (0.0000, 0.0000, 0.0000) [2 per cell]
C (0.0000, 0.0000, 0.2500) [2 per cell]

Values from the calculation:
Final energy (eV per atom): -5.697
Volume (Å³ per cell): 98.2
Energy relative to the elements (eV per atom): 0.043

Compound: Na5B8C2
Source: Alexandria via LeMat-Bulk
Functional: GGA-PBE
Structure: relaxed

a = 14.6670 Å, b = 5.0944 Å, c = 9.1144 Å
α = 90.00°, β = 108.80°, γ = 90.00°
Space group C2 (No. 5)
Unique sites:
Na (0.0490, 0.9997, 0.2455) [4 per cell]
Na (0.0504, 0.5014, 0.7523) [4 per cell]
Na (0.1501, 0.4979, 0.2488) [4 per cell]
Na (0.1507, 0.0000, 0.7522) [4 per cell]
Na (0.2503, 0.4975, 0.7511) [4 per cell]
B (0.0000, 0.1595, 0.5000) [2 per cell]
B (0.0000, 0.3532, 0.0000) [2 per cell]
B (0.0912, 0.6810, 0.4999) [4 per cell]
B (0.1010, 0.1622, 0.9994) [4 per cell]
B (0.1015, 0.3419, 0.5005) [4 per cell]
B (0.1007, 0.8208, 0.9996) [4 per cell]
B (0.1959, 0.1605, 0.5003) [4 per cell]
B (0.2015, 0.8187, 0.4997) [4 per cell]
B (0.2048, 0.3440, 0.9998) [4 per cell]
C (0.0000, 0.6615, 0.0000) [2 per cell]
C (0.0000, 0.8449, 0.5000) [2 per cell]
C (0.1998, 0.6649, 0.9994) [4 per cell]

Values from the calculation:
Final energy (eV per atom): -5.021
Volume (Å³ per cell): 644.7
Energy relative to the elements (eV per atom): 0.209

Copy entry 3 word for word.
Compound: NaBC
Source: Alexandria via LeMat-Bulk
Functional: GGA-PBE
Structure: relaxed

a = 4.4731 Å, b = 4.4731 Å, c = 5.6653 Å
α = 90.00°, β = 90.00°, γ = 120.00°
Space group P6_3/mmc (No. 194)
Unique sites:
Na (0.3333, 0.6667, 0.2500) [2 per cell]
B (0.0000, 0.0000, 0.0000) [2 per cell]
C (0.0000, 0.0000, 0.2500) [2 per cell]

Values from the calculation:
Final energy (eV per atom): -5.697
Volume (Å³ per cell): 98.2
Energy relative to the elements (eV per atom): 0.043

- The lowest energy relative to the elements belongs to which entry?
  NaBC

- Look up the energy relative to the elements of the first one.
  0.145 eV per atom